1.
# PBE FeP2Ir2, relaxed
data_FeP2Ir2
_space_group_name_H-M_alt 'P 4/n m m'
_space_group_IT_number 129
_cell_length_a 3.8276
_cell_length_b 3.8276
_cell_length_c 10.1619
_cell_angle_alpha 90.00
_cell_angle_beta 90.00
_cell_angle_gamma 90.00
loop_
_space_group_symop_operation_xyz
'x,y,z'
'-x,-y,-z'
'-y+1/2,x,z'
'y+1/2,-x,-z'
'-x+1/2,-y+1/2,z'
'x+1/2,y+1/2,-z'
'y,-x+1/2,z'
'-y,x+1/2,-z'
'x+1/2,-y,-z'
'-x+1/2,y,z'
'-y,-x,-z'
'y,x,z'
'-x,y+1/2,-z'
'x,-y+1/2,z'
'y+1/2,x+1/2,-z'
'-y+1/2,-x+1/2,z'
loop_
_atom_site_label
_atom_site_fract_x
_atom_site_fract_y
_atom_site_fract_z
Fe1 0.2500 0.2500 0.2126
P1 0.2500 0.2500 0.8592
P2 0.2500 0.7500 0.5000
Ir1 0.2500 0.2500 0.6339
Ir2 0.2500 0.7500 0.0000
# Calculated total energy: -7.4511 eV per atom


2.
# PBE LaGeTe2AuSe, relaxed
data_LaGeTe2AuSe
_space_group_name_H-M_alt 'C m c m'
_space_group_IT_number 63
_space_group_name_Hall '-C 2c 2'
_cell_length_a 4.2222
_cell_length_b 14.6678
_cell_length_c 10.9618
_cell_angle_alpha 90.00
_cell_angle_beta 90.00
_cell_angle_gamma 90.00
loop_
_atom_site_label
_atom_site_fract_x
_atom_site_fract_y
_atom_site_fract_z
La1 0.0000 0.0000 0.0000
Ge1 0.0000 0.2294 0.2500
Te1 0.0000 0.3396 0.5731
Au1 0.0000 0.4786 0.7500
Se1 0.0000 0.0908 0.7500
# Calculated total energy: -4.4189 eV per atom


3.
# PBE K2InH6Ir, relaxed
data_K2InH6Ir
_space_group_name_H-M_alt 'F m -3 m'
_space_group_IT_number 225
_space_group_name_Hall '-F 4 2 3'
_cell_length_a 8.1209
_cell_length_b 8.1209
_cell_length_c 8.1209
_cell_angle_alpha 90.00
_cell_angle_beta 90.00
_cell_angle_gamma 90.00
loop_
_atom_site_label
_atom_site_fract_x
_atom_site_fract_y
_atom_site_fract_z
K1 0.2500 0.2500 0.2500
In1 0.0000 0.0000 0.0000
H1 0.0000 0.0000 0.2900
Ir1 0.0000 0.0000 0.5000
# Calculated total energy: -3.6238 eV per atom


4.
# PBE Co15As, relaxed
data_Co15As
_space_group_name_H-M_alt 'P 1 21/m 1'
_space_group_IT_number 11
_space_group_name_Hall '-P 2yb'
_cell_length_a 6.9721
_cell_length_b 2.5048
_cell_length_c 33.3041
_cell_angle_alpha 90.00
_cell_angle_beta 90.00
_cell_angle_gamma 90.00
loop_
_atom_site_label
_atom_site_fract_x
_atom_site_fract_y
_atom_site_fract_z
Co1 0.1200 0.2500 0.2587
Co2 0.1248 0.2500 0.4075
Co3 0.1251 0.2500 0.4814
Co4 0.1250 0.2500 0.5556
Co5 0.1250 0.2500 0.6292
Co6 0.1250 0.2500 0.7042
Co7 0.1250 0.2500 0.7750
Co8 0.1256 0.2500 0.3329
Co9 0.3700 0.7500 0.7413
Co10 0.3750 0.7500 0.2970
Co11 0.3750 0.7500 0.3702
Co12 0.3750 0.7500 0.4446
Co13 0.3751 0.7500 0.5185
Co14 0.3748 0.7500 0.5926
Co15 0.3756 0.7500 0.6670
As1 0.3751 0.7500 0.2214
# Energy above the most stable polymorph in this dataset: 64.1 meV/atom


5.
# PBE YNbCd, relaxed
data_YNbCd
_space_group_name_H-M_alt 'F -4 3 m'
_space_group_IT_number 216
_space_group_name_Hall 'F -4 2 3'
_cell_length_a 6.7985
_cell_length_b 6.7985
_cell_length_c 6.7985
_cell_angle_alpha 90.00
_cell_angle_beta 90.00
_cell_angle_gamma 90.00
loop_
_atom_site_label
_atom_site_fract_x
_atom_site_fract_y
_atom_site_fract_z
Y1 0.0000 0.0000 0.0000
Nb1 0.0000 0.0000 0.5000
Cd1 0.2500 0.2500 0.7500
# Energy above the most stable polymorph in this dataset: 0.0 meV/atom
# Energy of formation from the pure elements: 711 meV/atom


6.
# PBE KNaNiMo, relaxed
data_KNaNiMo
_space_group_name_H-M_alt 'F -4 3 m'
_space_group_IT_number 216
_space_group_name_Hall 'F -4 2 3'
_cell_length_a 7.0305
_cell_length_b 7.0305
_cell_length_c 7.0305
_cell_angle_alpha 90.00
_cell_angle_beta 90.00
_cell_angle_gamma 90.00
loop_
_atom_site_label
_atom_site_fract_x
_atom_site_fract_y
_atom_site_fract_z
K1 0.0000 0.0000 0.0000
Na1 0.2500 0.2500 0.7500
Ni1 0.2500 0.2500 0.2500
Mo1 0.0000 0.0000 0.5000
# Energy above the most stable polymorph in this dataset: 0.0 meV/atom


7.
# PBE MgCuGeMo, relaxed
data_MgCuGeMo
_space_group_name_H-M_alt 'F -4 3 m'
_space_group_IT_number 216
_space_group_name_Hall 'F -4 2 3'
_cell_length_a 6.2089
_cell_length_b 6.2089
_cell_length_c 6.2089
_cell_angle_alpha 90.00
_cell_angle_beta 90.00
_cell_angle_gamma 90.00
loop_
_atom_site_label
_atom_site_fract_x
_atom_site_fract_y
_atom_site_fract_z
Mg1 0.0000 0.0000 0.0000
Cu1 0.2500 0.2500 0.7500
Ge1 0.0000 0.0000 0.5000
Mo1 0.2500 0.2500 0.2500
# Energy above the most stable polymorph in this dataset: 0.0 meV/atom


8.
# PBE CsMg2Cu2As3, relaxed
data_CsMg2Cu2As3
_space_group_name_H-M_alt 'P -4 m 2'
_space_group_IT_number 115
_space_group_name_Hall 'P -4 -2'
_cell_length_a 4.2529
_cell_length_b 4.2529
_cell_length_c 10.5598
_cell_angle_alpha 90.00
_cell_angle_beta 90.00
_cell_angle_gamma 90.00
loop_
_atom_site_label
_atom_site_fract_x
_atom_site_fract_y
_atom_site_fract_z
Cs1 0.0000 0.0000 0.0000
Mg1 0.0000 0.5000 0.6466
Cu1 0.0000 0.5000 0.3454
As1 0.0000 0.0000 0.5000
As2 0.5000 0.5000 0.2190
# Calculated total energy: -3.4840 eV per atom